# 1
Density functional theory data (SCAN) for a PBEsol-optimized structure of LiHIr2.

Calculated total energy in eV per atom: -36.380
SG: No. 225
Size of the total moment in Bohr magnetons per cell: 0.0

Cell: 3.870 3.870 3.870 Å, 60.00 60.00 60.00°
Atoms (fractional coordinates):
Li1 0.500 0.500 0.500
Ir1 0.250 0.250 0.250
Ir2 0.750 0.750 0.750
H1 0.000 0.000 0.000

# 2
Density functional theory data (SCAN) for a PBEsol-optimized structure of MnTlAg2.

ΔE to the lowest computed polymorph in kcal/mol of atoms: 2.77
SG: No. 160
Calculated formation energy in meV/atom: 179
Size of the total moment in Bohr magnetons per cell: 4.1

Cell: 3.043 3.043 9.266 Å, 80.55 80.55 60.00°
Atoms (fractional coordinates):
Tl1 0.248 0.248 0.257
Ag1 0.004 0.004 0.987
Ag2 0.753 0.753 0.742
Mn1 0.495 0.495 0.514

# 3
Density functional theory data (SCAN) for a PBEsol-optimized structure of LaCoPt2.

SG: No. 99
Calculated formation energy in meV/atom: -400
Size of the total moment in Bohr magnetons per cell: 2.1

Cell: 3.441 3.441 6.173 Å, 90.00 90.00 90.00°
Atoms (fractional coordinates):
Pt1 0.500 0.500 0.291
Pt2 0.000 0.000 0.024
Co1 0.000 0.000 0.426
La1 0.500 0.500 0.759

# 4
Density functional theory data (SCAN) for a PBEsol-optimized structure of ZrSiMo2.

Raw formation energy in eV per atom: 0.149
SG: No. 160
Size of the total moment in Bohr magnetons per cell: 0.0

Cell: 3.075 3.075 8.408 Å, 79.46 79.46 60.00°
Atoms (fractional coordinates):
Si1 0.493 0.493 0.521
Zr1 0.250 0.250 0.251
Mo1 0.007 0.007 0.980
Mo2 0.751 0.751 0.748

# 5
Density functional theory data (SCAN) for a PBEsol-optimized structure of GaNiO2F.

Raw formation energy in eV per atom: -1.112
SG: No. 123
Size of the total moment in Bohr magnetons per cell: 2.0

Cell: 3.716 3.794 3.794 Å, 90.00 90.00 90.00°
Atoms (fractional coordinates):
F1 0.500 0.000 0.000
O1 0.000 0.000 0.500
O2 0.000 0.500 0.000
Ga1 0.000 0.000 0.000
Ni1 0.500 0.500 0.500

# 6
Density functional theory data (SCAN) for a PBEsol-optimized structure of ReB3F.

Raw formation energy in eV per atom: 1.572
SG: No. 221
Size of the total moment in Bohr magnetons per cell: 1.5

Cell: 3.534 3.534 3.534 Å, 90.00 90.00 90.00°
Atoms (fractional coordinates):
F1 0.000 0.000 0.000
Re1 0.500 0.500 0.500
B1 0.500 0.000 0.000
B2 0.000 0.500 0.000
B3 0.000 0.000 0.500

# 7
Density functional theory data (SCAN) for a PBEsol-optimized structure of Na3CoPCO7.

ΔE to the lowest computed polymorph in kcal/mol of atoms: 0.00
Raw formation energy in eV per atom: -2.060
SG: No. 11
Size of the total moment in Bohr magnetons per cell: 6.0

Cell: 5.132 6.549 8.891 Å, 90.00 90.94 90.00°
Atoms (fractional coordinates):
O1 0.908 0.250 0.051
O2 0.356 0.250 0.936
O3 0.092 0.750 0.949
O4 0.980 0.250 0.647
O5 0.210 0.750 0.583
O6 0.790 0.250 0.417
O7 0.020 0.750 0.353
O8 0.548 0.250 0.625
O9 0.276 0.061 0.184
O10 0.724 0.561 0.816
O11 0.644 0.750 0.064
O12 0.724 0.939 0.816
O13 0.452 0.750 0.375
O14 0.276 0.439 0.184
Co1 0.278 0.750 0.154
Co2 0.722 0.250 0.846
Na1 0.752 0.004 0.230
Na2 0.735 0.750 0.582
Na3 0.752 0.496 0.230
Na4 0.248 0.504 0.770
Na5 0.265 0.250 0.418
Na6 0.248 0.996 0.770
P1 0.207 0.250 0.085
P2 0.793 0.750 0.915
C1 0.226 0.750 0.439
C2 0.774 0.250 0.561

# 8
Density functional theory data (SCAN) for a PBEsol-optimized structure of RbYAgP2.

SG: No. 123
Calculated formation energy in meV/atom: 1794
Size of the total moment in Bohr magnetons per cell: 0.0

Cell: 5.212 5.222 5.222 Å, 90.00 90.00 90.00°
Atoms (fractional coordinates):
P1 0.000 0.500 0.000
P2 0.000 0.000 0.500
Rb1 0.000 0.000 0.000
Y1 0.500 0.000 0.000
Ag1 0.500 0.500 0.500

# 9
Density functional theory data (SCAN) for a PBEsol-optimized structure of LaZnTc2.

SG: No. 44
Calculated formation energy in meV/atom: 367
Size of the total moment in Bohr magnetons per cell: 0.0

Cell: 3.138 4.711 5.622 Å, 114.77 106.21 90.00°
Atoms (fractional coordinates):
La1 0.737 0.237 0.474
Tc1 0.971 0.971 0.942
Tc2 0.268 0.768 0.537
Zn1 0.524 0.524 0.047

# 10
Density functional theory data (SCAN) for a PBEsol-optimized structure of SrAl2W.

ΔE to the lowest computed polymorph in kcal/mol of atoms: 0.00
SG: No. 47
Calculated formation energy in meV/atom: 166
Size of the total moment in Bohr magnetons per cell: 0.0

Cell: 2.943 3.816 7.075 Å, 90.00 90.00 90.00°
Atoms (fractional coordinates):
Al1 0.000 0.000 0.686
Al2 0.000 0.000 0.314
W1 0.500 0.500 0.500
Sr1 0.500 0.500 0.000

# 11
Density functional theory data (SCAN) for a PBEsol-optimized structure of TaAlCr.

SG: No. 44
Calculated formation energy in meV/atom: 44
Size of the total moment in Bohr magnetons per cell: 0.0

Cell: 2.668 4.017 4.770 Å, 114.90 106.24 90.00°
Atoms (fractional coordinates):
Al1 0.007 0.007 0.014
Cr1 0.660 0.660 0.319
Ta1 0.333 0.333 0.667

# 12
Density functional theory data (SCAN) for a PBEsol-optimized structure of Te3Br.

ΔE to the lowest computed polymorph in kcal/mol of atoms: 4.73
Raw formation energy in eV per atom: 0.174
SG: No. 25
Size of the total moment in Bohr magnetons per cell: 0.0

Cell: 3.562 4.467 7.247 Å, 90.00 90.00 90.00°
Atoms (fractional coordinates):
Te1 0.500 0.000 0.518
Te2 0.000 0.500 0.328
Te3 0.500 0.500 0.787
Br1 0.000 0.000 0.034

# 13
Density functional theory data (SCAN) for a PBEsol-optimized structure of Sr2TiBeO.

Raw formation energy in eV per atom: -0.148
SG: No. 123
Size of the total moment in Bohr magnetons per cell: 1.4

Cell: 3.727 6.160 6.160 Å, 90.00 90.00 90.00°
Atoms (fractional coordinates):
Be1 0.500 0.500 0.500
Sr1 0.000 0.500 0.000
Sr2 0.000 0.000 0.500
O1 0.500 0.000 0.000
Ti1 0.000 0.000 0.000

# 14
Density functional theory data (SCAN) for a PBEsol-optimized structure of SrLa2Ir.

ΔE to the lowest computed polymorph in kcal/mol of atoms: 0.00
SG: No. 166
Calculated formation energy in meV/atom: -559
Size of the total moment in Bohr magnetons per cell: 0.0

Cell: 4.190 4.190 10.281 Å, 78.24 78.24 60.00°
Atoms (fractional coordinates):
Ir1 0.000 0.000 0.000
La1 0.716 0.716 0.852
La2 0.284 0.284 0.148
Sr1 0.500 0.500 0.500

# 15
Density functional theory data (SCAN) for a PBEsol-optimized structure of TaCoGe.

SG: No. 62
Calculated formation energy in meV/atom: -408
Size of the total moment in Bohr magnetons per cell: 0.0

Cell: 3.709 6.244 7.059 Å, 90.00 90.00 90.00°
Atoms (fractional coordinates):
Co1 0.750 0.640 0.937
Co2 0.250 0.360 0.063
Co3 0.750 0.140 0.563
Co4 0.250 0.860 0.437
Ta1 0.750 0.521 0.316
Ta2 0.250 0.479 0.684
Ta3 0.250 0.979 0.816
Ta4 0.750 0.021 0.184
Ge1 0.250 0.731 0.118
Ge2 0.750 0.769 0.618
Ge3 0.250 0.231 0.382
Ge4 0.750 0.269 0.882

# 16
Density functional theory data (SCAN) for a PBEsol-optimized structure of Rb3HfF.

Raw formation energy in eV per atom: -0.154
SG: No. 221
Size of the total moment in Bohr magnetons per cell: 4.0

Cell: 5.694 5.694 5.694 Å, 90.00 90.00 90.00°
Atoms (fractional coordinates):
Rb1 0.500 0.000 0.000
Rb2 0.000 0.000 0.500
Rb3 0.000 0.500 0.000
F1 0.000 0.000 0.000
Hf1 0.500 0.500 0.500

# 17
Density functional theory data (SCAN) for a PBEsol-optimized structure of AlZn2Ni.

SG: No. 160
Calculated formation energy in meV/atom: -144
Size of the total moment in Bohr magnetons per cell: 0.0

Cell: 2.732 2.732 8.367 Å, 80.61 80.61 60.00°
Atoms (fractional coordinates):
Al1 0.508 0.508 0.477
Ni1 0.249 0.249 0.253
Zn1 0.750 0.750 0.751
Zn2 0.994 0.994 0.018

# 18
Density functional theory data (SCAN) for a PBEsol-optimized structure of BaY2Te.

Raw formation energy in eV per atom: -0.544
SG: No. 166
Size of the total moment in Bohr magnetons per cell: 0.2

Cell: 4.001 4.001 10.574 Å, 79.10 79.10 60.00°
Atoms (fractional coordinates):
Y1 0.272 0.272 0.185
Y2 0.728 0.728 0.815
Ba1 0.500 0.500 0.500
Te1 0.000 0.000 0.000

# 19
Density functional theory data (SCAN) for a PBEsol-optimized structure of YZr2Hg.

SG: No. 65
Calculated formation energy in meV/atom: 18
Size of the total moment in Bohr magnetons per cell: 0.0

Cell: 3.140 5.530 5.530 Å, 109.09 90.00 90.00°
Atoms (fractional coordinates):
Hg1 0.500 0.000 0.000
Y1 0.500 0.500 0.500
Zr1 0.000 0.500 0.000
Zr2 0.000 0.000 0.500

# 20
Density functional theory data (SCAN) for a PBEsol-optimized structure of MgIO2F.

Raw formation energy in eV per atom: -1.176
SG: No. 123
Size of the total moment in Bohr magnetons per cell: 0.0

Cell: 3.683 4.061 4.061 Å, 90.00 90.00 90.00°
Atoms (fractional coordinates):
Mg1 0.000 0.000 0.000
O1 0.000 0.500 0.000
O2 0.000 0.000 0.500
I1 0.500 0.500 0.500
F1 0.500 0.000 0.000

# 21
Density functional theory data (SCAN) for a PBEsol-optimized structure of TaZn2As.

SG: No. 99
Calculated formation energy in meV/atom: 77
Size of the total moment in Bohr magnetons per cell: 0.0

Cell: 2.815 2.815 8.462 Å, 90.00 90.00 90.00°
Atoms (fractional coordinates):
Zn1 0.000 0.000 0.999
Zn2 0.500 0.500 0.206
Ta1 0.500 0.500 0.766
As1 0.000 0.000 0.529

# 22
Density functional theory data (SCAN) for a PBEsol-optimized structure of BeIr3.

SG: No. 187
Calculated formation energy in meV/atom: -210
Size of the total moment in Bohr magnetons per cell: 0.0

Cell: 2.706 2.706 8.027 Å, 90.00 90.00 120.00°
Atoms (fractional coordinates):
Be1 0.000 0.000 0.000
Ir1 0.333 0.667 0.222
Ir2 0.333 0.667 0.778
Ir3 0.000 0.000 0.500

# 23
Density functional theory data (SCAN) for a PBEsol-optimized structure of Tm2NiPt.

SG: No. 225
Calculated formation energy in meV/atom: -1011
Size of the total moment in Bohr magnetons per cell: 0.0

Cell: 4.728 4.728 4.728 Å, 60.00 60.00 60.00°
Atoms (fractional coordinates):
Tm1 0.750 0.750 0.750
Tm2 0.250 0.250 0.250
Ni1 0.500 0.500 0.500
Pt1 0.000 0.000 0.000

# 24
Density functional theory data (SCAN) for a PBEsol-optimized structure of Ta4CrBr.

Raw formation energy in eV per atom: 0.881
SG: No. 216
Size of the total moment in Bohr magnetons per cell: 3.6

Cell: 5.438 5.438 5.438 Å, 60.00 60.00 60.00°
Atoms (fractional coordinates):
Br1 0.750 0.750 0.750
Ta1 0.374 0.878 0.374
Ta2 0.878 0.374 0.374
Ta3 0.374 0.374 0.374
Ta4 0.374 0.374 0.878
Cr1 0.000 0.000 0.000

# 25
Density functional theory data (SCAN) for a PBEsol-optimized structure of TaFeS2.

Raw formation energy in eV per atom: -0.213
SG: No. 225
Size of the total moment in Bohr magnetons per cell: 3.1

Cell: 4.195 4.195 4.195 Å, 60.00 60.00 60.00°
Atoms (fractional coordinates):
Ta1 0.500 0.500 0.500
S1 0.250 0.250 0.250
S2 0.750 0.750 0.750
Fe1 0.000 0.000 0.000

# 26
Density functional theory data (SCAN) for a PBEsol-optimized structure of CsBeAs2Se.

Raw formation energy in eV per atom: 0.183
SG: No. 123
Size of the total moment in Bohr magnetons per cell: 0.0

Cell: 4.716 4.716 5.030 Å, 90.00 90.00 90.00°
Atoms (fractional coordinates):
Be1 0.000 0.000 0.000
Se1 0.000 0.000 0.500
Cs1 0.500 0.500 0.500
As1 0.000 0.500 0.000
As2 0.500 0.000 0.000

# 27
Density functional theory data (SCAN) for a PBEsol-optimized structure of CaFePt2.

SG: No. 8
Calculated formation energy in meV/atom: -393
Size of the total moment in Bohr magnetons per cell: 3.7

Cell: 2.827 5.097 4.848 Å, 101.22 90.00 106.10°
Atoms (fractional coordinates):
Pt1 0.999 0.998 0.038
Pt2 0.264 0.527 0.739
Fe1 0.730 0.459 0.190
Ca1 0.508 0.015 0.533

# 28
Density functional theory data (SCAN) for a PBEsol-optimized structure of Bi8Pt5I3.

Raw formation energy in eV per atom: -0.241
SG: No. 12
Size of the total moment in Bohr magnetons per cell: 0.0

Cell: 3.943 9.376 13.120 Å, 70.63 81.36 77.86°
Atoms (fractional coordinates):
Bi1 0.677 0.374 0.271
Bi2 0.683 0.665 0.968
Bi3 0.323 0.626 0.729
Bi4 0.895 0.732 0.477
Bi5 0.317 0.335 0.032
Bi6 0.517 0.748 0.217
Bi7 0.483 0.252 0.783
Bi8 0.105 0.268 0.523
Pt1 0.500 0.500 0.500
Pt2 0.849 0.429 0.874
Pt3 0.945 0.452 0.658
Pt4 0.151 0.571 0.126
Pt5 0.055 0.548 0.342
I1 0.313 0.043 0.330
I2 0.687 0.957 0.670
I3 0.000 0.000 0.000